Compound: CuNiIr2
Source: Alexandria via LeMat-Bulk
Functional: GGA-PBE
Structure: optimized geometry

Structure (CIF):
```
data_CuNiIr2
_symmetry_space_group_name_H-M 'P 1'
_symmetry_Int_Tables_number 1
_symmetry_space_group_name_Hall 'P 1'
_cell_length_a 4.6223
_cell_length_b 5.1342
_cell_length_c 2.6510
_cell_angle_alpha 75.57
_cell_angle_beta 88.86
_cell_angle_gamma 116.43
loop_
_atom_site_label
_atom_site_fract_x
_atom_site_fract_y
_atom_site_fract_z
Cu1 0.5000 0.5000 0.0000
Ir1 0.0000 0.0000 0.0000
Ir2 0.5000 0.0000 0.5000
Ni1 0.0000 0.5000 0.5000
```

Calculated values
Symmetry: No. 12
Magnetic moment in μB/f.u.: 0.00
ΔE_f in eV/atom: 0.20
Total energy in eV/atom: -6.698

***

Compound: Cu14NiIr
Source: Alexandria via LeMat-Bulk
Functional: GGA-PBE
Structure: optimized geometry

Structure (CIF):
```
data_Cu14NiIr
_symmetry_space_group_name_H-M 'P 1'
_symmetry_Int_Tables_number 1
_symmetry_space_group_name_Hall 'P 1'
_cell_length_a 5.1486
_cell_length_b 5.1486
_cell_length_c 8.3808
_cell_angle_alpha 90.00
_cell_angle_beta 90.00
_cell_angle_gamma 119.66
loop_
_atom_site_label
_atom_site_fract_x
_atom_site_fract_y
_atom_site_fract_z
Cu1 0.2079 0.7921 0.0000
Cu2 0.7084 0.2916 0.0000
Cu3 0.0436 0.4592 0.5000
Cu4 0.2062 0.2915 0.0000
Cu5 0.5408 0.9564 0.5000
Cu6 0.7085 0.7938 0.0000
Cu7 0.3721 0.1227 0.7518
Cu8 0.3721 0.1227 0.2482
Cu9 0.8773 0.6279 0.7518
Cu10 0.8773 0.6279 0.2482
Cu11 0.3739 0.6261 0.7531
Cu12 0.3739 0.6261 0.2469
Cu13 0.8753 0.1247 0.7489
Cu14 0.8753 0.1247 0.2511
Ni1 0.0448 0.9552 0.5000
Ir1 0.5424 0.4576 0.5000
```

Calculated values
Symmetry: No. 38
Magnetic moment in μB/f.u.: 0.00
ΔE_f in eV/atom: 0.03
Total energy in eV/atom: -4.467

***

Compound: CuNi5Ir2
Source: Alexandria via LeMat-Bulk
Functional: GGA-PBE
Structure: optimized geometry

Structure (CIF):
```
data_CuNi5Ir2
_symmetry_space_group_name_H-M 'P 1'
_symmetry_Int_Tables_number 1
_symmetry_space_group_name_Hall 'P 1'
_cell_length_a 5.0369
_cell_length_b 5.0368
_cell_length_c 5.0368
_cell_angle_alpha 106.33
_cell_angle_beta 106.33
_cell_angle_gamma 115.96
loop_
_atom_site_label
_atom_site_fract_x
_atom_site_fract_y
_atom_site_fract_z
Cu1 0.7785 0.7783 0.0000
Ni1 0.2779 0.2782 0.5005
Ni2 0.2782 0.7774 0.0000
Ni3 0.7778 0.2779 0.0000
Ni4 0.7774 0.7778 0.4995
Ni5 0.2777 0.2773 0.0000
Ir1 0.2777 0.7781 0.5001
Ir2 0.7777 0.2780 0.4999
```

Calculated values
Symmetry: No. 139
Magnetic moment in μB/f.u.: 2.29
ΔE_f in eV/atom: 0.12
Total energy in eV/atom: -6.225

***

Compound: CuNi6Ir
Source: Alexandria via LeMat-Bulk
Functional: GGA-PBE
Structure: optimized geometry

Structure (CIF):
```
data_CuNi6Ir
_symmetry_space_group_name_H-M 'P 1'
_symmetry_Int_Tables_number 1
_symmetry_space_group_name_Hall 'P 1'
_cell_length_a 6.2095
_cell_length_b 6.2095
_cell_length_c 10.1720
_cell_angle_alpha 90.00
_cell_angle_beta 90.00
_cell_angle_gamma 109.68
loop_
_atom_site_label
_atom_site_fract_x
_atom_site_fract_y
_atom_site_fract_z
Cu1 0.2496 0.7504 0.2500
Cu2 0.7504 0.2496 0.2500
Cu3 0.0000 0.0000 0.4978
Cu4 0.0000 0.0000 0.0022
Ir1 0.2496 0.7504 0.7500
Ir2 0.7504 0.2496 0.7500
Ir3 0.5000 0.5000 0.4954
Ir4 0.5000 0.5000 0.0046
Ni1 0.2496 0.7504 0.4982
Ni2 0.8757 0.6265 0.6230
Ni3 0.1243 0.3735 0.6230
Ni4 0.7504 0.2496 0.4982
Ni5 0.3735 0.1243 0.6230
Ni6 0.6265 0.8757 0.6230
Ni7 0.5000 0.5000 0.2500
Ni8 0.1227 0.3734 0.3731
Ni9 0.3734 0.1227 0.3731
Ni10 0.2496 0.7504 0.0018
Ni11 0.8773 0.6266 0.1269
Ni12 0.1227 0.3734 0.1269
Ni13 0.7504 0.2496 0.0018
Ni14 0.3734 0.1227 0.1269
Ni15 0.6266 0.8773 0.1269
Ni16 0.5000 0.5000 0.7500
Ni17 0.1243 0.3735 0.8770
Ni18 0.3735 0.1243 0.8770
Ni19 0.0000 0.0000 0.2500
Ni20 0.6266 0.8773 0.3731
Ni21 0.8773 0.6266 0.3731
Ni22 0.0000 0.0000 0.7500
Ni23 0.6265 0.8757 0.8770
Ni24 0.8757 0.6265 0.8770
```

Calculated values
Symmetry: No. 65
Magnetic moment in μB/f.u.: 4.25
ΔE_f in eV/atom: 0.02
Total energy in eV/atom: -5.932

***

Compound: CuNi5Ir
Source: Alexandria via LeMat-Bulk
Functional: GGA-PBE
Structure: optimized geometry

Structure (CIF):
```
data_CuNi5Ir
_symmetry_space_group_name_H-M 'P 1'
_symmetry_Int_Tables_number 1
_symmetry_space_group_name_Hall 'P 1'
_cell_length_a 4.3548
_cell_length_b 4.3548
_cell_length_c 4.9530
_cell_angle_alpha 90.00
_cell_angle_beta 90.00
_cell_angle_gamma 111.14
loop_
_atom_site_label
_atom_site_fract_x
_atom_site_fract_y
_atom_site_fract_z
Cu1 0.5000 0.5000 0.5000
Ni1 0.5000 0.0000 0.2474
Ni2 0.0000 0.5000 0.2474
Ni3 0.0000 0.0000 0.5000
Ni4 0.0000 0.5000 0.7526
Ni5 0.5000 0.0000 0.7526
Ir1 0.0000 0.0000 0.0000
```

Calculated values
Symmetry: No. 65
Magnetic moment in μB/f.u.: 0.00
ΔE_f in eV/atom: 0.18
Total energy in eV/atom: -5.798

***

Compound: Cu3Ni12Ir
Source: Alexandria via LeMat-Bulk
Functional: GGA-PBE
Structure: optimized geometry

Structure (CIF):
```
data_Cu3Ni12Ir
_symmetry_space_group_name_H-M 'P 1'
_symmetry_Int_Tables_number 1
_symmetry_space_group_name_Hall 'P 1'
_cell_length_a 3.5658
_cell_length_b 3.5658
_cell_length_c 14.2228
_cell_angle_alpha 90.00
_cell_angle_beta 90.00
_cell_angle_gamma 90.00
loop_
_atom_site_label
_atom_site_fract_x
_atom_site_fract_y
_atom_site_fract_z
Cu1 0.0000 0.0000 0.2534
Cu2 0.0000 0.0000 0.5000
Cu3 0.0000 0.0000 0.7466
Ni1 0.5000 0.5000 0.0000
Ni2 0.5000 0.5000 0.2528
Ni3 0.5000 0.5000 0.5000
Ni4 0.5000 0.5000 0.7472
Ni5 0.5000 0.0000 0.1283
Ni6 0.5000 0.0000 0.3763
Ni7 0.5000 0.0000 0.6237
Ni8 0.5000 0.0000 0.8717
Ni9 0.0000 0.5000 0.1283
Ni10 0.0000 0.5000 0.3763
Ni11 0.0000 0.5000 0.6237
Ni12 0.0000 0.5000 0.8717
Ir1 0.0000 0.0000 0.0000
```

Calculated values
Symmetry: No. 123
Magnetic moment in μB/f.u.: 6.72
ΔE_f in eV/atom: 0.03
Total energy in eV/atom: -5.625

***

Compound: CuNiIr2
Source: Alexandria via LeMat-Bulk
Functional: GGA-PBE
Structure: optimized geometry

Structure (CIF):
```
data_CuNiIr2
_symmetry_space_group_name_H-M 'P 1'
_symmetry_Int_Tables_number 1
_symmetry_space_group_name_Hall 'P 1'
_cell_length_a 3.7483
_cell_length_b 2.7023
_cell_length_c 5.8662
_cell_angle_alpha 62.60
_cell_angle_beta 90.00
_cell_angle_gamma 90.00
loop_
_atom_site_label
_atom_site_fract_x
_atom_site_fract_y
_atom_site_fract_z
Ni1 0.0000 0.4922 0.5076
Ir1 0.0000 0.9940 0.0064
Ir2 0.5000 0.2523 0.2474
Cu1 0.5000 0.7615 0.7386
```

Calculated values
Symmetry: No. 25
Magnetic moment in μB/f.u.: 0.00
ΔE_f in eV/atom: 0.06
Total energy in eV/atom: -6.840

***

Compound: Cu5Ni12Ir2
Source: Alexandria via LeMat-Bulk
Functional: GGA-PBE
Structure: optimized geometry

Structure (CIF):
```
data_Cu5Ni12Ir2
_symmetry_space_group_name_H-M 'P 1'
_symmetry_Int_Tables_number 1
_symmetry_space_group_name_Hall 'P 1'
_cell_length_a 7.3666
_cell_length_b 6.7643
_cell_length_c 5.3901
_cell_angle_alpha 91.62
_cell_angle_beta 90.00
_cell_angle_gamma 122.99
loop_
_atom_site_label
_atom_site_fract_x
_atom_site_fract_y
_atom_site_fract_z
Cu1 0.2359 0.4718 0.4968
Cu2 0.3432 0.6864 0.0964
Cu3 0.0000 0.0000 0.5000
Cu4 0.6568 0.3136 0.9036
Cu5 0.7641 0.5282 0.5032
Ni1 0.8551 0.7102 0.0994
Ni2 0.0524 0.5989 0.7989
Ni3 0.5465 0.5989 0.7989
Ni4 0.1667 0.7926 0.4026
Ni5 0.6259 0.7926 0.4026
Ni6 0.4507 0.9014 0.7081
Ni7 0.5493 0.0986 0.2919
Ni8 0.8333 0.2074 0.5974
Ni9 0.3741 0.2074 0.5974
Ni10 0.9476 0.4011 0.2011
Ni11 0.4535 0.4011 0.2011
Ni12 0.1449 0.2898 0.9006
Ir1 0.7657 0.0000 0.0000
Ir2 0.2343 0.0000 0.0000
```

Calculated values
Symmetry: No. 12
Magnetic moment in μB/f.u.: 5.63
ΔE_f in eV/atom: 0.16
Total energy in eV/atom: -5.507

***

Compound: CuNiIr2
Source: Alexandria via LeMat-Bulk
Functional: GGA-PBE
Structure: optimized geometry

Structure (CIF):
```
data_CuNiIr2
_symmetry_space_group_name_H-M 'P 1'
_symmetry_Int_Tables_number 1
_symmetry_space_group_name_Hall 'P 1'
_cell_length_a 2.6823
_cell_length_b 3.6185
_cell_length_c 5.3970
_cell_angle_alpha 90.00
_cell_angle_beta 90.00
_cell_angle_gamma 90.00
loop_
_atom_site_label
_atom_site_fract_x
_atom_site_fract_y
_atom_site_fract_z
Cu1 0.5000 0.5000 0.7500
Ir1 0.0000 0.0000 0.0041
Ir2 0.0000 0.0000 0.4959
Ni1 0.5000 0.5000 0.2500
```

Calculated values
Symmetry: No. 47
Magnetic moment in μB/f.u.: 0.00
ΔE_f in eV/atom: 0.16
Total energy in eV/atom: -6.737

***

Compound: CuNiIr2
Source: Alexandria via LeMat-Bulk
Functional: GGA-PBE
Structure: optimized geometry

Structure (CIF):
```
data_CuNiIr2
_symmetry_space_group_name_H-M 'P 1'
_symmetry_Int_Tables_number 1
_symmetry_space_group_name_Hall 'P 1'
_cell_length_a 2.6515
_cell_length_b 2.6515
_cell_length_c 8.7715
_cell_angle_alpha 90.00
_cell_angle_beta 90.00
_cell_angle_gamma 118.61
loop_
_atom_site_label
_atom_site_fract_x
_atom_site_fract_y
_atom_site_fract_z
Cu1 0.5000 0.5000 0.7500
Ir1 0.0000 0.0000 0.0043
Ir2 0.0000 0.0000 0.4957
Ni1 0.5000 0.5000 0.2500
```

Calculated values
Symmetry: No. 65
Magnetic moment in μB/f.u.: 1.06
ΔE_f in eV/atom: 0.21
Total energy in eV/atom: -6.688